Material: KSb2Se4
Method: DFT, PBEsol
State: relaxed

```
KSb2Se4
1.0
6.3076 0.2296 -0.0318
1.8188 6.8049 -0.0965
1.0573 1.3860 9.1945
K Sb Se
2 4 8
Cartesian
2.0576 2.1243 5.1081
7.1261 6.2962 3.9581
1.3919 1.3597 0.3470
7.7918 7.0608 8.7192
4.1272 4.3835 1.4163
5.0565 4.0370 7.6498
1.6445 3.6794 1.8895
7.5392 4.7412 7.1766
4.9845 3.3723 3.7522
4.1992 5.0482 5.3139
5.1527 1.6251 6.6234
4.0310 6.7954 2.4427
5.2464 1.3364 1.1419
3.9373 7.0842 7.9242
```

Values from the calculation:
symmetry = P-1 (2)
total magnetic moment = 0.00 μB per formula unit
calculated total energy = -4.15 eV/atom
raw formation energy = -0.48 eV per atom

=====

Material: Y2ZrCo2
Method: DFT, PBEsol
State: relaxed

```
Y2ZrCo2
1.0
-1.4639 -3.6158 2.2060
6.0512 -2.5844 -0.2206
1.4501 2.9066 5.7265
Y Co Zr
4 4 2
Cartesian
1.3265 -0.2973 4.9449
4.5616 -1.1695 5.6621
4.7109 -2.9963 2.7670
1.4758 -2.1241 2.0498
3.5931 1.5765 4.9684
6.2349 -0.4850 3.3424
3.9082 -1.2543 0.5376
1.2664 0.8072 2.1635
0.0000 0.0000 0.0000
3.7507 0.1611 2.7530
```

Values from the calculation:
symmetry = P4/mbm (127)
total magnetic moment = 0.00 μB per formula unit
calculated total energy = -7.80 eV/atom
calculated formation energy = -0.1600 eV per atom

=====

Copy entry 2 word for word.
Material: Y2ZrCo2
Method: DFT, PBEsol
State: relaxed

```
Y2ZrCo2
1.0
-1.4639 -3.6158 2.2060
6.0512 -2.5844 -0.2206
1.4501 2.9066 5.7265
Y Co Zr
4 4 2
Cartesian
1.3265 -0.2973 4.9449
4.5616 -1.1695 5.6621
4.7109 -2.9963 2.7670
1.4758 -2.1241 2.0498
3.5931 1.5765 4.9684
6.2349 -0.4850 3.3424
3.9082 -1.2543 0.5376
1.2664 0.8072 2.1635
0.0000 0.0000 0.0000
3.7507 0.1611 2.7530
```

Values from the calculation:
symmetry = P4/mbm (127)
total magnetic moment = 0.00 μB per formula unit
calculated total energy = -7.80 eV/atom
calculated formation energy = -0.1600 eV per atom